Entry from Alexandria via LeMat-Bulk: a relaxed Mg6SnAu5 crystal (PBE).

Lattice parameters (Å, degrees): 4.5908 7.1512 8.0994 116.20 106.46 90.00
Atoms (fractional coordinates):
Au  0.3419  0.8419  0.6837
Au  0.0000  0.5000  0.0000
Au  0.6706  0.6706  0.3411
Au  0.3294  0.3294  0.6589
Au  0.6581  0.1581  0.3163
Sn  0.0000  0.0000  0.0000
Mg  0.1726  0.9094  0.3452
Mg  0.5000  0.2742  0.0000
Mg  0.1726  0.4358  0.3452
Mg  0.8274  0.0906  0.6548
Mg  0.8274  0.5642  0.6548
Mg  0.5000  0.7258  0.0000

ΔH_f (0 K) (eV/atom): -0.51
Crystal system: orthorhombic
Calculated density (g cm⁻³): 9.16
M_tot (μB/cell): 0.00
DOS at the Fermi energy (states/eV per cell): 3.756

=====

Entry from Alexandria via LeMat-Bulk: a relaxed MgSnAu crystal (PBE).

Lattice parameters (Å, degrees): 4.6056 4.6056 4.6056 60.00 60.00 60.00
Atoms (fractional coordinates):
Au  0.2500  0.2500  0.2500
Mg  0.0000  0.0000  0.0000
Sn  0.5000  0.5000  0.5000

ΔH_f (0 K) (eV/atom): -0.44
Crystal system: cubic
Calculated density (g cm⁻³): 8.17
M_tot (μB/cell): 0.00
DOS at the Fermi energy (states/eV per cell): 1.743

=====

Entry from Alexandria via LeMat-Bulk: a relaxed Mg4SnAu2 crystal (PBE).

Lattice parameters (Å, degrees): 4.6813 4.6813 8.3273 73.67 73.67 60.00
Atoms (fractional coordinates):
Mg  0.8688  0.8688  0.3935
Mg  0.6103  0.6103  0.1692
Mg  0.1312  0.1312  0.6065
Mg  0.3897  0.3897  0.8308
Au  0.7542  0.7542  0.7373
Au  0.2458  0.2458  0.2627
Sn  0.0000  0.0000  0.0000

ΔH_f (0 K) (eV/atom): -0.39
Crystal system: trigonal
Calculated density (g cm⁻³): 6.77
M_tot (μB/cell): 0.00
DOS at the Fermi energy (states/eV per cell): 2.463
Relative energy among the computed polymorphs (eV/f.u.): 0.00

=====

Entry from Alexandria via LeMat-Bulk: a relaxed Mg7SnAu4 crystal (PBE).

Lattice parameters (Å, degrees): 5.1295 7.8615 7.2550 74.43 69.30 70.96
Atoms (fractional coordinates):
Au  0.5630  0.2412  0.6327
Au  0.3003  0.3444  0.0550
Au  0.4370  0.7588  0.3673
Au  0.6997  0.6556  0.9450
Sn  0.0000  0.0000  0.0000
Mg  0.5000  0.0000  0.0000
Mg  0.9388  0.3781  0.7444
Mg  0.2937  0.6511  0.7615
Mg  0.7840  0.8766  0.5555
Mg  0.2160  0.1234  0.4445
Mg  0.0612  0.6219  0.2556
Mg  0.7063  0.3489  0.2385

ΔH_f (0 K) (eV/atom): -0.31
Crystal system: monoclinic
Calculated density (g cm⁻³): 7.02
M_tot (μB/cell): 0.00
DOS at the Fermi energy (states/eV per cell): 4.197

=====

Entry from Alexandria via LeMat-Bulk: a relaxed Mg4SnAu2 crystal (PBE).

Lattice parameters (Å, degrees): 4.4532 4.4532 9.7871 76.85 76.85 60.00
Atoms (fractional coordinates):
Mg  0.8901  0.8901  0.3297
Mg  0.3017  0.3017  0.0948
Mg  0.6983  0.6983  0.9052
Mg  0.1099  0.1099  0.6703
Sn  0.5000  0.5000  0.5000
Au  0.3998  0.3998  0.8005
Au  0.6002  0.6002  0.1995

ΔH_f (0 K) (eV/atom): -0.35
Crystal system: trigonal
Calculated density (g cm⁻³): 6.24
M_tot (μB/cell): 0.00
DOS at the Fermi energy (states/eV per cell): 3.277
Relative energy among the computed polymorphs (eV/f.u.): 0.27

=====

Entry from Alexandria via LeMat-Bulk: a relaxed MgSnAu crystal (PBE).

Lattice parameters (Å, degrees): 3.5869 4.6391 4.6391 120.00 90.00 90.00
Atoms (fractional coordinates):
Sn  0.0863  0.0000  0.0000
Au  0.3160  0.3333  0.6667
Mg  0.5978  0.6667  0.3333

ΔH_f (0 K) (eV/atom): -0.23
Crystal system: trigonal
Calculated density (g cm⁻³): 8.44
M_tot (μB/cell): 0.00
DOS at the Fermi energy (states/eV per cell): 1.496

=====

What did the first record say?
Entry from Alexandria via LeMat-Bulk: a relaxed Mg6SnAu5 crystal (PBE).

Lattice parameters (Å, degrees): 4.5908 7.1512 8.0994 116.20 106.46 90.00
Atoms (fractional coordinates):
Au  0.3419  0.8419  0.6837
Au  0.0000  0.5000  0.0000
Au  0.6706  0.6706  0.3411
Au  0.3294  0.3294  0.6589
Au  0.6581  0.1581  0.3163
Sn  0.0000  0.0000  0.0000
Mg  0.1726  0.9094  0.3452
Mg  0.5000  0.2742  0.0000
Mg  0.1726  0.4358  0.3452
Mg  0.8274  0.0906  0.6548
Mg  0.8274  0.5642  0.6548
Mg  0.5000  0.7258  0.0000

ΔH_f (0 K) (eV/atom): -0.51
Crystal system: orthorhombic
Calculated density (g cm⁻³): 9.16
M_tot (μB/cell): 0.00
DOS at the Fermi energy (states/eV per cell): 3.756